The following is a DFT calculation (PBE) of Tb4Pd3Pt3 after structural relaxation.

abc: 8.1652 8.1652 8.1652
angles: 109.47 109.47 109.47
Last column: nearest neighbours and their distance in Å.
Element x y z (fractional)
Tb 0.0000 0.0000 0.2556  3 Pt 2.87, 3 Pd 2.91
Tb 0.5000 0.2556 0.5000  3 Pt 2.87, 3 Pd 2.91
Tb 0.7444 0.2444 0.2444  3 Pt 2.87, 3 Pd 2.91
Tb 0.0000 0.0000 0.7556  3 Pt 2.87, 3 Pd 2.91
Tb 0.7556 0.5000 0.0000  3 Pt 2.87, 3 Pd 2.91
Tb 0.5000 0.7556 0.5000  3 Pt 2.87, 3 Pd 2.91
Tb 0.2556 0.5000 0.0000  3 Pt 2.87, 3 Pd 2.91
Tb 0.2444 0.7444 0.7444  3 Pt 2.87, 3 Pd 2.91
Pd 0.6250 0.7500 0.8750  4 Pt 2.89, 4 Tb 2.91
Pd 0.8750 0.2500 0.6250  4 Pt 2.89, 4 Tb 2.91
Pd 0.1250 0.3750 0.2500  4 Pt 2.89, 4 Tb 2.91
Pd 0.3750 0.1250 0.7500  4 Pt 2.89, 4 Tb 2.91
Pd 0.2500 0.8750 0.1250  4 Pt 2.89, 4 Tb 2.91
Pd 0.7500 0.6250 0.3750  4 Pt 2.89, 4 Tb 2.91
Pt 0.1250 0.7500 0.3750  4 Tb 2.87, 4 Pd 2.89
Pt 0.3750 0.2500 0.1250  4 Tb 2.87, 4 Pd 2.89
Pt 0.6250 0.8750 0.2500  4 Tb 2.87, 4 Pd 2.89
Pt 0.8750 0.6250 0.7500  4 Tb 2.87, 4 Pd 2.89
Pt 0.2500 0.3750 0.6250  4 Tb 2.87, 4 Pd 2.89
Pt 0.7500 0.1250 0.8750  4 Tb 2.87, 4 Pd 2.89

Output
M_tot: 0.00 μB per cell
formation energy from the elements: -852 meV/atom

The following is a DFT calculation (PBE) of AlCuNi4 after structural relaxation.

abc: 4.1086 3.9474 6.1290
angles: 104.02 70.42 58.64
Last column: nearest neighbours and their distance in Å.
Element x y z (fractional)
Al 0.5000 0.5000 0.5000  8 Ni 2.44-2.71, 2 Cu 2.48
Cu 0.0000 0.0000 0.0000  8 Ni 2.44-2.69, 2 Al 2.48
Ni 0.5065 0.8274 0.1596  3 Cu 2.44, 6 Ni 2.46-2.64, 1 Al 2.71
Ni 0.4935 0.1726 0.8404  3 Cu 2.44, 6 Ni 2.46-2.64, 1 Al 2.71
Ni 0.0049 0.3280 0.6622  3 Al 2.44-2.45, 6 Ni 2.46-2.67, 1 Cu 2.69
Ni 0.9951 0.6720 0.3378  3 Al 2.44-2.45, 6 Ni 2.46-2.67, 1 Cu 2.69

Output
M_tot: 0.00 μB per cell
E above lowest polymorph: 0.26 eV/f.u.
formation energy from the elements: -188 meV/atom

The following is a DFT calculation (PBE) of Nd2ScTl4 after structural relaxation.

abc: 5.2176 5.2176 8.4017
angles: 108.09 108.09 90.00
Last column: nearest neighbours and their distance in Å.
Element x y z (fractional)
Nd 0.7524 0.7524 0.5048  8 Tl 3.37-3.42, 4 Nd 3.69, 1 Sc 3.74
Nd 0.2476 0.2476 0.4952  8 Tl 3.37-3.42, 4 Nd 3.69, 1 Sc 3.74
Sc 0.0000 0.0000 0.0000  8 Tl 3.06
Tl 0.3938 0.8938 0.7876  2 Sc 3.06, 1 Tl 3.21, 4 Nd 3.37-3.42
Tl 0.8938 0.3938 0.7876  2 Sc 3.06, 1 Tl 3.21, 4 Nd 3.37-3.42
Tl 0.6062 0.1062 0.2124  2 Sc 3.06, 1 Tl 3.21, 4 Nd 3.37-3.42
Tl 0.1062 0.6062 0.2124  2 Sc 3.06, 1 Tl 3.21, 4 Nd 3.37-3.42

Output
M_tot: 0.00 μB per cell
formation energy from the elements: -230 meV/atom

The following is a DFT calculation (PBE) of PuPbO6 after structural relaxation.

abc: 4.8929 4.8929 5.8011
angles: 81.72 81.72 109.34
Last column: nearest neighbours and their distance in Å.
Element x y z (fractional)
Pu 0.0000 0.0000 0.0000  4 O 1.88
Pb 0.5000 0.5000 0.5000  6 O 2.59-2.61
O 0.7078 0.0307 0.2337  1 Pu 1.88
O 0.0307 0.7078 0.2337  1 Pu 1.88
O 0.9693 0.2922 0.7663  1 Pu 1.88
O 0.2922 0.9693 0.7663  1 Pu 1.88
O 0.3966 0.3966 0.0889  1 O 1.35
O 0.6034 0.6034 0.9111  1 O 1.35

Output
M_tot: 0.78 μB per cell

The following is a DFT calculation (PBE) of CoCuP2 after structural relaxation.

abc: 3.2609 3.2609 4.7048
angles: 90.00 90.00 90.00
Last column: nearest neighbours and their distance in Å.
Element x y z (fractional)
Co 0.0000 0.0000 0.4404  6 P 2.29-2.42
Cu 0.5000 0.5000 0.7981  6 P 2.31-2.42
P 0.0000 0.0000 0.9540  2 Co 2.29-2.42, 4 Cu 2.42
P 0.5000 0.5000 0.3075  2 Cu 2.31-2.40, 4 Co 2.39

Output
M_tot: 0.00 μB per cell
formation energy from the elements: 57 meV/atom

The following is a DFT calculation (PBE) of Tb2MnGa3Ir4 after structural relaxation.

abc: 4.1203 4.1203 10.7287
angles: 90.00 90.00 90.00
Last column: nearest neighbours and their distance in Å.
Element x y z (fractional)
Tb 0.5000 0.0000 0.2402  6 Ga 3.14-3.47, 8 Ir 3.18-3.30, 2 Mn 3.47
Tb 0.0000 0.5000 0.7598  6 Ga 3.14-3.47, 8 Ir 3.18-3.30, 2 Mn 3.47
Mn 0.5000 0.5000 0.5000  4 Ir 2.55
Ga 0.0000 0.0000 0.5000  4 Ir 2.55
Ga 0.5000 0.0000 0.8697  5 Ir 2.46-2.49
Ga 0.0000 0.5000 0.1303  5 Ir 2.46-2.49
Ir 0.5000 0.5000 0.0000  4 Ga 2.49
Ir 0.0000 0.0000 0.0000  4 Ga 2.49
Ir 0.5000 0.0000 0.6404  3 Ga 2.46-2.55, 2 Mn 2.55
Ir 0.0000 0.5000 0.3596  3 Ga 2.46-2.55, 2 Mn 2.55

Output
M_tot: 3.90 μB per cell
formation energy from the elements: -623 meV/atom

The following is a DFT calculation (PBE) of Fe14CoTc after structural relaxation.

abc: 4.9540 4.9540 8.0775
angles: 90.00 90.00 109.26
Last column: nearest neighbours and their distance in Å.
Element x y z (fractional)
Fe 0.1249 0.8751 0.0000  8 Fe 2.47-2.48
Fe 0.6249 0.3751 0.0000  8 Fe 2.45-2.48
Fe 0.1249 0.3751 0.5000  2 Co 2.48, 2 Tc 2.48, 4 Fe 2.49
Fe 0.1249 0.3751 0.0000  8 Fe 2.47-2.48
Fe 0.6249 0.8751 0.5000  2 Co 2.48, 2 Tc 2.48, 4 Fe 2.49
Fe 0.6249 0.8751 0.0000  8 Fe 2.47-2.48
Fe 0.3785 0.1284 0.7522  6 Fe 2.45-2.48, 1 Co 2.48, 1 Tc 2.50
Fe 0.3785 0.1284 0.2478  6 Fe 2.45-2.48, 1 Co 2.48, 1 Tc 2.50
Fe 0.8716 0.6215 0.7522  6 Fe 2.45-2.48, 1 Co 2.48, 1 Tc 2.50
Fe 0.8716 0.6215 0.2478  6 Fe 2.45-2.48, 1 Co 2.48, 1 Tc 2.50
Fe 0.3742 0.6258 0.7515  8 Fe 2.47-2.49
Fe 0.3742 0.6258 0.2485  8 Fe 2.47-2.49
Fe 0.8760 0.1240 0.7515  8 Fe 2.47-2.49
Fe 0.8760 0.1240 0.2485  8 Fe 2.47-2.49
Co 0.6249 0.3751 0.5000  8 Fe 2.48
Tc 0.1249 0.8751 0.5000  8 Fe 2.48-2.50

Output
M_tot: 33.93 μB per cell
formation energy from the elements: 18 meV/atom

The following is a DFT calculation (PBE) of SrTePtI2 after structural relaxation.

abc: 6.2004 6.2004 6.5525
angles: 90.00 90.00 90.00
Last column: nearest neighbours and their distance in Å.
Element x y z (fractional)
I 0.0000 0.5000 0.0000  2 Sr 3.10
I 0.5000 0.0000 0.0000  2 Sr 3.10
Sr 0.0000 0.0000 0.0000  4 I 3.10, 2 Te 3.28
Te 0.0000 0.0000 0.5000  2 Sr 3.28
Pt 0.5000 0.5000 0.5000  4 Te 4.38, 8 I 4.51

Output
M_tot: 2.14 μB per cell
E above lowest polymorph: 5.18 eV/f.u.

The following is a DFT calculation (PBE) of Zr4RuRh after structural relaxation.

abc: 6.4373 6.4831 6.4211
angles: 90.00 84.60 90.00
Last column: nearest neighbours and their distance in Å.
Element x y z (fractional)
Zr 0.7444 0.7494 0.2523  2 Ru 2.68-2.89, 2 Rh 2.73-2.86
Zr 0.7556 0.2494 0.7477  2 Ru 2.68-2.89, 2 Rh 2.73-2.86
Zr 0.2440 0.2491 0.2528  2 Ru 2.68-2.89, 2 Rh 2.74-2.86
Zr 0.2560 0.7491 0.7472  2 Ru 2.68-2.89, 2 Rh 2.74-2.86
Zr 0.2556 0.2506 0.7477  2 Ru 2.68-2.89, 2 Rh 2.73-2.86
Zr 0.2444 0.7506 0.2523  2 Ru 2.68-2.89, 2 Rh 2.73-2.86
Zr 0.7560 0.7509 0.7472  2 Ru 2.68-2.89, 2 Rh 2.74-2.86
Zr 0.7440 0.2509 0.2528  2 Ru 2.68-2.89, 2 Rh 2.74-2.86
Ru 0.5000 0.0000 0.5000  8 Zr 2.68-2.89
Ru 0.0000 0.5000 0.5000  8 Zr 2.68-2.89
Rh 0.0000 0.0000 0.0000  8 Zr 2.73-2.86
Rh 0.5000 0.5000 0.0000  8 Zr 2.73-2.86

Output
M_tot: 0.00 μB per cell
E above lowest polymorph: 1.31 eV/f.u.
formation energy from the elements: -271 meV/atom

The following is a DFT calculation (PBE) of RbSbPb2 after structural relaxation.

abc: 5.0045 5.0045 12.0824
angles: 90.00 90.00 90.00
Last column: nearest neighbours and their distance in Å.
Element x y z (fractional)
Rb 0.5000 0.0000 0.2336  1 Pb 3.50, 4 Sb 3.68
Rb 0.0000 0.5000 0.7664  1 Pb 3.50, 4 Sb 3.68
Sb 0.5000 0.0000 0.6838  5 Pb 3.14-3.35
Sb 0.0000 0.5000 0.3162  5 Pb 3.14-3.35
Pb 0.5000 0.0000 0.9437  1 Sb 3.14, 1 Rb 3.50
Pb 0.0000 0.5000 0.0563  1 Sb 3.14, 1 Rb 3.50
Pb 0.0000 0.0000 0.5000  4 Sb 3.35, 4 Pb 3.54
Pb 0.5000 0.5000 0.5000  4 Sb 3.35, 4 Pb 3.54

Output
M_tot: 0.00 μB per cell

The following is a DFT calculation (PBE) of HfTl3I7 after structural relaxation.

abc: 8.0019 8.0019 9.3238
angles: 63.91 63.91 82.80
Last column: nearest neighbours and their distance in Å.
Element x y z (fractional)
Hf 0.9469 0.9469 0.0486  6 I 2.82-3.03
Tl 0.8020 0.2224 0.4906  4 I 3.34-3.64
Tl 0.5163 0.5163 0.8825  7 I 3.47-3.69
Tl 0.2224 0.8020 0.4906  4 I 3.34-3.64
I 0.1477 0.1477 0.1225  1 Hf 2.87
I 0.6271 0.1418 0.2058  1 Hf 2.97
I 0.9678 0.3142 0.7403  1 Hf 3.03
I 0.1418 0.6271 0.2058  1 Hf 2.97
I 0.6461 0.6461 0.4140  1 Hf 3.20, 2 Tl 3.34
I 0.3142 0.9678 0.7403  1 Hf 3.03
I 0.7926 0.7926 0.9092  1 Hf 2.82

Output
M_tot: 0.00 μB per cell

no.,DFT total energy (eV per atom)
1,-6.074
2,-5.349
3,-3.849
4,-7.386
5,-5.449
6,-6.918
7,-8.478
8,-2.369
9,-8.741
10,-3.182
11,-3.212